This record from Alexandria via LeMat-Bulk describes a geometry-optimized Er6InPd structure. The functional is PBE. Values from VASP.

Cell and atoms, written as Quantum ESPRESSO input:
```
&SYSTEM
  ibrav = 0, nat = 8, ntyp = 3
/
ATOMIC_SPECIES
Er 167.26 Er.upf
Pd 106.42 Pd.upf
In 114.82 In.upf
ATOMIC_POSITIONS crystal
Er 0.074 0.480 0.255
Er 0.270 0.270 0.728
Er 0.926 0.520 0.745
Er 0.480 0.074 0.255
Er 0.730 0.730 0.272
Er 0.520 0.926 0.745
Pd 0.500 0.500 0.500
In 0.000 0.000 0.000
CELL_PARAMETERS angstrom
6.690 -0.448 -0.486
-2.905 6.044 -0.486
-1.154 -1.706 6.413
```

- ΔH_f (0 K): -80 meV per atom
- Magnetic moment: 0.001 μB/atom